# K3Au GGA-PBEsol optimized geometry
# Calculated formation energy   -0.171 eV/f.u.
data_K3Au
_chemical_formula_sum 'K6 Au2'
_space_group_name_H-M_alt 'P m m n'
_space_group_IT_number 59
_cell_length_a 4.513
_cell_length_b 7.718
_cell_length_c 10.806
_cell_angle_alpha 90.00
_cell_angle_beta 90.00
_cell_angle_gamma 90.00
loop_
_space_group_symop_operation_xyz
'x,y,z'
'-x,-y,-z'
'-x+1/2,-y+1/2,z'
'x+1/2,y+1/2,-z'
'x+1/2,-y,-z'
'-x+1/2,y,z'
'-x,y+1/2,-z'
'x,-y+1/2,z'
loop_
_atom_site_label
_atom_site_type_symbol
_atom_site_fract_x
_atom_site_fract_y
_atom_site_fract_z
K1 K 0.250 0.011 0.171
K2 K 0.250 0.250 0.534
Au1 Au 0.250 0.750 0.685

=====

# Be5Ag GGA-PBEsol optimized geometry
# Calculated formation energy   0.280 eV/f.u.
data_Be5Ag
_chemical_formula_sum 'Be5 Ag1'
_space_group_name_H-M_alt 'P 6/m m m'
_space_group_IT_number 191
_space_group_name_Hall '-P 6 2'
_cell_length_a 4.2725
_cell_length_b 4.2725
_cell_length_c 3.6037
_cell_angle_alpha 90.00
_cell_angle_beta 90.00
_cell_angle_gamma 120.00
loop_
_atom_site_label
_atom_site_type_symbol
_atom_site_fract_x
_atom_site_fract_y
_atom_site_fract_z
Be1 Be 0.0000 0.5000 0.0000
Be2 Be 0.3333 0.6667 0.5000
Ag1 Ag 0.0000 0.0000 0.5000

=====

# AlNi2Au GGA-PBEsol optimized geometry
# Calculated formation energy   -1.095 eV/f.u.
data_AlNi2Au
_chemical_formula_sum 'Al2 Ni4 Au2'
_space_group_name_H-M_alt 'C 1 m 1'
_space_group_IT_number 8
_cell_length_a 8.596
_cell_length_b 2.812
_cell_length_c 4.373
_cell_angle_alpha 90.00
_cell_angle_beta 104.30
_cell_angle_gamma 90.00
loop_
_space_group_symop_operation_xyz
'x,y,z'
'x,-y,z'
'x+1/2,y+1/2,z'
'x+1/2,-y+1/2,z'
loop_
_atom_site_label
_atom_site_type_symbol
_atom_site_fract_x
_atom_site_fract_y
_atom_site_fract_z
Al1 Al 0.000 0.000 0.000
Ni1 Ni 0.239 0.500 0.226
Ni2 Ni 0.484 0.000 0.459
Au1 Au 0.243 0.000 0.722

=====

Across the entries above, DOS at the Fermi energy takes the values 2.6, 0.7, 2.5 states/eV/f.u., respectively.